Computed, not measured: a relaxed structure of Cd2InCuSn at the GGA-PBE level of DFT.

The calculated formation energy comes out at 177 meV per atom. The calculation puts the total energy at -2.357 eV/atom.

The space group is P4/mmm (No. 123) and the conventional cell measures 5.0915, 5.0915 and 5.0331 Å, with angles of 90.00, 90.00 and 90.00 degrees. Symmetry generates all atoms from Cd at (0.0000, 0.5000, 0.0000), In at (0.0000, 0.0000, 0.5000), Cu at (0.5000, 0.5000, 0.0000) and Sn at (0.5000, 0.5000, 0.5000).